DFT (GGA+U) results for a relaxed GaNi2PO6 crystal.

The structure belongs to space group P4mm (No. 99); the cell edges are 4.875, 4.875 and 4.675 Å and the angles 90.00°, 90.00° and 90.00°. The inequivalent atoms are Ga at (0.000, 0.000, 0.000), Ni at (0.000, 0.500, 0.412), P at (0.500, 0.500, 0.057), O at (0.000, 0.000, 0.619), O at (0.266, 0.266, 0.177) and O at (0.500, 0.500, 0.731).

For the final energy, the calculation gives -5.565 eV per atom. The value obtained for the density is 4.70 g/cm3. Its total moment is 4.00 μB per cell.